1.
! Sn3Hg PBE-GGA relaxed; values from VASP
&SYSTEM
  ibrav = 0, nat = 4, ntyp = 2
/
ATOMIC_SPECIES
Hg 200.59 Hg.upf
Sn 118.71 Sn.upf
ATOMIC_POSITIONS crystal
Hg 0.5000 0.5000 0.5000
Sn 0.0000 0.0000 0.0000
Sn 0.7500 0.7500 0.7500
Sn 0.2500 0.2500 0.2500
CELL_PARAMETERS angstrom
-5.1232 1.1498 -1.0637
-3.0748 -3.5738 -2.5444
-3.9165 -2.5265 2.6417
! Space group ... Fm-3m, No. 225
! E_form ... 0.112 eV per atom



2.
! Cs3HfNb PBE-GGA relaxed; values from VASP
&SYSTEM
  ibrav = 0, nat = 5, ntyp = 3
/
ATOMIC_SPECIES
Cs 132.91 Cs.upf
Nb 92.91 Nb.upf
Hf 178.49 Hf.upf
ATOMIC_POSITIONS crystal
Cs 0.0000 0.5000 0.0000
Cs 0.0000 0.0000 0.5000
Cs 0.5000 0.0000 0.0000
Nb 0.0000 0.0000 0.0000
Hf 0.5000 0.5000 0.5000
CELL_PARAMETERS angstrom
-0.1332 6.4144 -2.1941
-6.1214 0.8292 2.7959
2.9133 2.0357 5.7745
! Space group ... Pm-3m, No. 221
! E_form ... 2.065 eV per atom



3.
! Ce2Bi3Rh4 PBE-GGA relaxed; values from VASP
&SYSTEM
  ibrav = 0, nat = 9, ntyp = 3
/
ATOMIC_SPECIES
Ce 140.12 Ce.upf
Bi 208.98 Bi.upf
Rh 102.91 Rh.upf
ATOMIC_POSITIONS crystal
Ce 0.3345 0.6691 0.2134
Ce 0.6655 0.3309 0.7866
Bi 0.3707 0.7414 0.6048
Bi 0.0000 0.0000 0.0000
Bi 0.6293 0.2586 0.3952
Rh 0.6944 0.3889 0.0831
Rh 0.0856 0.1712 0.6124
Rh 0.9144 0.8288 0.3876
Rh 0.3056 0.6111 0.9169
CELL_PARAMETERS angstrom
4.0157 0.0000 0.0000
-2.0079 4.8192 -0.0234
0.0000 -0.5516 10.4800
! Space group ... C2/m, No. 12
! E_form ... -0.434 eV per atom